The following is a PBE calculation of NaTm4Te5 after structural relaxation, from the Alexandria database.

Unit cell a=7.5655 b=7.5655 c=10.6720 alpha=118.47 beta=118.47 gamma=33.04
Atoms (fractional coordinates):
Na 0.0000 0.0000 0.0000
Tm 0.1984 0.1984 0.7911
Tm 0.4030 0.4030 0.5955
Tm 0.5970 0.5970 0.4045
Tm 0.8016 0.8016 0.2089
Te 0.0000 0.0000 0.5000
Te 0.1978 0.1978 0.3037
Te 0.3942 0.3942 0.1017
Te 0.6058 0.6058 0.8983
Te 0.8022 0.8022 0.6963

- N(E_F): 4.17 states/eV per cell
- Calculated volume: 28.9 A^3/atom
- Formation energy from raw total energies: -12.224 eV/f.u.

=====

The following is a PBE calculation of NaTm5Te8 after structural relaxation, from the Alexandria database.

Unit cell a=8.9977 b=8.9977 c=8.9977 alpha=60.00 beta=60.00 gamma=60.00
Atoms (fractional coordinates):
Na 0.0000 0.0000 0.0000
Tm 0.3694 0.3694 0.3694
Tm 0.3694 0.3694 0.8917
Tm 0.3694 0.8917 0.3694
Tm 0.7500 0.7500 0.7500
Tm 0.8917 0.3694 0.3694
Te 0.1339 0.1339 0.1339
Te 0.1339 0.1339 0.5983
Te 0.1339 0.5983 0.1339
Te 0.1507 0.6164 0.6164
Te 0.5983 0.1339 0.1339
Te 0.6164 0.1507 0.6164
Te 0.6164 0.6164 0.1507
Te 0.6164 0.6164 0.6164

- N(E_F): 0.00 states/eV per cell
- Calculated volume: 36.8 A^3/atom
- Formation energy from raw total energies: -17.708 eV/f.u.

=====

The following is a PBE calculation of Na3Tm4Te8 after structural relaxation, from the Alexandria database.

Unit cell a=8.7519 b=8.7519 c=8.6323 alpha=119.05 beta=119.05 gamma=90.82
Atoms (fractional coordinates):
Na 0.0000 0.0000 0.0000
Na 0.0000 0.5000 0.0000
Na 0.5000 0.0000 0.0000
Tm 0.0000 0.5000 0.5000
Tm 0.5000 0.0000 0.5000
Tm 0.5000 0.5000 0.0000
Tm 0.5000 0.5000 0.5000
Te 0.2515 0.2515 0.5089
Te 0.2540 0.7460 0.5000
Te 0.2553 0.7447 0.0000
Te 0.2650 0.2650 0.0169
Te 0.7350 0.7350 0.9831
Te 0.7447 0.2553 0.0000
Te 0.7460 0.2540 0.5000
Te 0.7485 0.7485 0.4911

- N(E_F): 7.16 states/eV per cell
- Calculated volume: 31.8 A^3/atom
- Formation energy from raw total energies: -17.303 eV/f.u.

=====

The following is a PBE calculation of NaTmTe after structural relaxation, from the Alexandria database.

Unit cell a=4.1503 b=16.6668 c=5.0340 alpha=90.00 beta=90.00 gamma=90.00
Atoms (fractional coordinates):
Na 0.0000 0.0713 0.2500
Na 0.0000 0.9287 0.7500
Na 0.5000 0.4287 0.7500
Na 0.5000 0.5713 0.2500
Tm 0.0000 0.2398 0.7500
Tm 0.0000 0.7602 0.2500
Tm 0.5000 0.2602 0.2500
Tm 0.5000 0.7398 0.7500
Te 0.0000 0.3958 0.2500
Te 0.0000 0.6042 0.7500
Te 0.5000 0.1042 0.7500
Te 0.5000 0.8958 0.2500

- N(E_F): 5.27 states/eV per cell
- Calculated volume: 29.0 A^3/atom
- Formation energy from raw total energies: -1.901 eV/f.u.

=====

The following is a PBE calculation of NaTm3Te4 after structural relaxation, from the Alexandria database.

Unit cell a=6.1230 b=6.1230 c=12.2831 alpha=90.00 beta=90.00 gamma=90.00
Atoms (fractional coordinates):
Na 0.0000 0.0000 0.0000
Na 0.5000 0.5000 0.5000
Tm 0.0000 0.0000 0.5000
Tm 0.0000 0.5000 0.2500
Tm 0.0000 0.5000 0.7500
Tm 0.5000 0.0000 0.2500
Tm 0.5000 0.0000 0.7500
Tm 0.5000 0.5000 0.0000
Te 0.0000 0.0000 0.2508
Te 0.0000 0.0000 0.7492
Te 0.0000 0.5000 0.0000
Te 0.0000 0.5000 0.5000
Te 0.5000 0.0000 0.0000
Te 0.5000 0.0000 0.5000
Te 0.5000 0.5000 0.2492
Te 0.5000 0.5000 0.7508

- N(E_F): 4.73 states/eV per cell
- Calculated volume: 28.8 A^3/atom
- Formation energy from raw total energies: -9.757 eV/f.u.

=====

The following is a PBE calculation of NaTm6Te8 after structural relaxation, from the Alexandria database.

Unit cell a=8.6008 b=8.6008 c=8.6008 alpha=60.00 beta=60.00 gamma=60.00
Atoms (fractional coordinates):
Na 0.0000 0.0000 0.0000
Tm 0.0000 0.0000 0.5000
Tm 0.0000 0.5000 0.0000
Tm 0.0000 0.5000 0.5000
Tm 0.5000 0.0000 0.0000
Tm 0.5000 0.0000 0.5000
Tm 0.5000 0.5000 0.0000
Te 0.2500 0.2500 0.2500
Te 0.2580 0.2580 0.7420
Te 0.2580 0.7420 0.2580
Te 0.2580 0.7420 0.7420
Te 0.7420 0.2580 0.2580
Te 0.7420 0.2580 0.7420
Te 0.7420 0.7420 0.2580
Te 0.7500 0.7500 0.7500

- N(E_F): 4.78 states/eV per cell
- Calculated volume: 30.0 A^3/atom
- Formation energy from raw total energies: -18.715 eV/f.u.

=====

The following is a PBE calculation of NaTm6Te8 after structural relaxation, from the Alexandria database.

Unit cell a=11.3839 b=11.3839 c=4.4434 alpha=90.00 beta=90.00 gamma=120.00
Atoms (fractional coordinates):
Na 0.0000 0.0000 0.0000
Tm 0.1353 0.6475 0.7503
Tm 0.3525 0.4878 0.7503
Tm 0.4878 0.1353 0.2497
Tm 0.5122 0.8647 0.7503
Tm 0.6475 0.5122 0.2497
Tm 0.8647 0.3525 0.2497
Te 0.0417 0.3429 0.7498
Te 0.3013 0.9583 0.7498
Te 0.3333 0.6667 0.2504
Te 0.3429 0.3013 0.2502
Te 0.6571 0.6987 0.7498
Te 0.6667 0.3333 0.7496
Te 0.6987 0.0417 0.2502
Te 0.9583 0.6571 0.2502

- N(E_F): 11.87 states/eV per cell
- Calculated volume: 33.2 A^3/atom
- Formation energy from raw total energies: -18.402 eV/f.u.

=====

The following is a PBE calculation of Na4Tm3UTe8 after structural relaxation, from the Alexandria database.

Unit cell a=9.1198 b=9.1198 c=9.1198 alpha=57.74 beta=57.74 gamma=57.74
Atoms (fractional coordinates):
Na 0.0000 0.0000 0.0000
Na 0.0000 0.5000 0.5000
Na 0.5000 0.0000 0.5000
Na 0.5000 0.5000 0.0000
Tm 0.0000 0.0000 0.5000
Tm 0.0000 0.5000 0.0000
Tm 0.5000 0.0000 0.0000
U 0.5000 0.5000 0.5000
Te 0.2380 0.7470 0.7470
Te 0.2429 0.2429 0.2429
Te 0.2530 0.2530 0.7620
Te 0.2530 0.7620 0.2530
Te 0.7470 0.2380 0.7470
Te 0.7470 0.7470 0.2380
Te 0.7571 0.7571 0.7571
Te 0.7620 0.2530 0.2530

- N(E_F): 10.60 states/eV per cell
- Calculated volume: 31.8 A^3/atom
- Formation energy from raw total energies: -18.376 eV/f.u.

=====

The following is a PBE calculation of Na2TmUTe4 after structural relaxation, from the Alexandria database.

Unit cell a=7.6517 b=4.4035 c=8.0061 alpha=90.00 beta=108.53 gamma=90.00
Atoms (fractional coordinates):
Na 0.0000 0.0000 0.0000
Na 0.5000 0.5000 0.0000
Tm 0.0000 0.5000 0.5000
U 0.5000 0.0000 0.5000
Te 0.2382 0.0000 0.7317
Te 0.2492 0.5000 0.2652
Te 0.7508 0.5000 0.7348
Te 0.7618 0.0000 0.2683

- N(E_F): 8.73 states/eV per cell
- Calculated volume: 32.0 A^3/atom
- Formation energy from raw total energies: -8.119 eV/f.u.

=====

The following is a PBE calculation of Na3Tm3VTe8 after structural relaxation, from the Alexandria database.

Unit cell a=8.4660 b=8.4660 c=9.2222 alpha=117.42 beta=117.42 gamma=59.90
Atoms (fractional coordinates):
Na 0.0000 0.0000 0.0000
Na 0.0000 0.5000 0.0000
Na 0.5000 0.0000 0.0000
Tm 0.0000 0.5000 0.5000
Tm 0.5000 0.0000 0.5000
Tm 0.5000 0.5000 0.5000
V 0.0000 0.0000 0.5000
Te 0.2274 0.2274 0.7153
Te 0.2274 0.7607 0.7153
Te 0.2393 0.7726 0.2847
Te 0.2562 0.2562 0.2688
Te 0.7438 0.7438 0.7312
Te 0.7607 0.2274 0.7153
Te 0.7726 0.2393 0.2847
Te 0.7726 0.7726 0.2847

- N(E_F): 8.25 states/eV per cell
- Calculated volume: 32.3 A^3/atom
- Formation energy from raw total energies: -15.410 eV/f.u.

=====

The following is a PBE calculation of Na4Tm3VTe8 after structural relaxation, from the Alexandria database.

Unit cell a=9.0697 b=9.0697 c=9.0697 alpha=56.55 beta=56.55 gamma=56.55
Atoms (fractional coordinates):
Na 0.0000 0.0000 0.0000
Na 0.0000 0.5000 0.5000
Na 0.5000 0.0000 0.5000
Na 0.5000 0.5000 0.0000
Tm 0.0000 0.0000 0.5000
Tm 0.0000 0.5000 0.0000
Tm 0.5000 0.0000 0.0000
V 0.5000 0.5000 0.5000
Te 0.2440 0.2440 0.2440
Te 0.2576 0.7314 0.7314
Te 0.2686 0.2686 0.7424
Te 0.2686 0.7424 0.2686
Te 0.7314 0.2576 0.7314
Te 0.7314 0.7314 0.2576
Te 0.7424 0.2686 0.2686
Te 0.7560 0.7560 0.7560

- N(E_F): 8.87 states/eV per cell
- Calculated volume: 30.3 A^3/atom
- Formation energy from raw total energies: -17.164 eV/f.u.

=====

The following is a PBE calculation of Na3Y3TmTe8 after structural relaxation, from the Alexandria database.

Unit cell a=9.2031 b=9.2031 c=9.2031 alpha=56.46 beta=56.46 gamma=56.46
Atoms (fractional coordinates):
Na 0.0000 0.5000 0.5000
Na 0.5000 0.0000 0.5000
Na 0.5000 0.5000 0.0000
Y 0.0000 0.0000 0.5000
Y 0.0000 0.5000 0.0000
Y 0.5000 0.0000 0.0000
Tm 0.5000 0.5000 0.5000
Te 0.2444 0.7431 0.7431
Te 0.2445 0.2445 0.2445
Te 0.2569 0.2569 0.7556
Te 0.2569 0.7556 0.2569
Te 0.7431 0.2444 0.7431
Te 0.7431 0.7431 0.2444
Te 0.7555 0.7555 0.7555
Te 0.7556 0.2569 0.2569

- N(E_F): 5.39 states/eV per cell
- Calculated volume: 33.7 A^3/atom
- Formation energy from raw total energies: -18.867 eV/f.u.

=====

The following is a PBE calculation of NaYTm2Te4 after structural relaxation, from the Alexandria database.

Unit cell a=7.5831 b=4.3192 c=7.5898 alpha=90.00 beta=108.84 gamma=90.00
Atoms (fractional coordinates):
Na 0.0000 0.0000 0.0000
Y 0.0000 0.5000 0.5000
Tm 0.5000 0.0000 0.5000
Tm 0.5000 0.5000 0.0000
Te 0.2552 0.0000 0.7522
Te 0.2575 0.5000 0.2537
Te 0.7425 0.5000 0.7463
Te 0.7448 0.0000 0.2478

- N(E_F): 3.05 states/eV per cell
- Calculated volume: 29.4 A^3/atom
- Formation energy from raw total energies: -10.140 eV/f.u.

=====

The following is a PBE calculation of NaY3Tm2Te6 after structural relaxation, from the Alexandria database.

Unit cell a=9.7731 b=9.7731 c=8.7718 alpha=103.31 beta=103.31 gamma=25.66
Atoms (fractional coordinates):
Na 0.0000 0.0000 0.0000
Y 0.0000 0.0000 0.5000
Y 0.3384 0.3384 0.1779
Y 0.6616 0.6616 0.8221
Tm 0.3325 0.3325 0.6598
Tm 0.6675 0.6675 0.3402
Te 0.1673 0.1673 0.5799
Te 0.1698 0.1698 0.0874
Te 0.4961 0.4961 0.7486
Te 0.5039 0.5039 0.2514
Te 0.8302 0.8302 0.9126
Te 0.8327 0.8327 0.4201

- N(E_F): 4.72 states/eV per cell
- Calculated volume: 29.4 A^3/atom
- Formation energy from raw total energies: -15.338 eV/f.u.

=====

The following is a PBE calculation of Na3YTm3Te8 after structural relaxation, from the Alexandria database.

Unit cell a=9.1714 b=9.1714 c=9.1714 alpha=56.26 beta=56.26 gamma=56.26
Atoms (fractional coordinates):
Na 0.0000 0.5000 0.5000
Na 0.5000 0.0000 0.5000
Na 0.5000 0.5000 0.0000
Y 0.5000 0.5000 0.5000
Tm 0.0000 0.0000 0.5000
Tm 0.0000 0.5000 0.0000
Tm 0.5000 0.0000 0.0000
Te 0.2380 0.7464 0.7464
Te 0.2433 0.2433 0.2433
Te 0.2536 0.2536 0.7620
Te 0.2536 0.7620 0.2536
Te 0.7464 0.2380 0.7464
Te 0.7464 0.7464 0.2380
Te 0.7567 0.7567 0.7567
Te 0.7620 0.2536 0.2536

- N(E_F): 5.26 states/eV per cell
- Calculated volume: 33.2 A^3/atom
- Formation energy from raw total energies: -18.593 eV/f.u.

=====

The following is a PBE calculation of Na4YTm3Te8 after structural relaxation, from the Alexandria database.

Unit cell a=9.1093 b=9.1093 c=9.1093 alpha=57.70 beta=57.70 gamma=57.70
Atoms (fractional coordinates):
Na 0.0000 0.0000 0.0000
Na 0.0000 0.5000 0.5000
Na 0.5000 0.0000 0.5000
Na 0.5000 0.5000 0.0000
Y 0.5000 0.5000 0.5000
Tm 0.0000 0.0000 0.5000
Tm 0.0000 0.5000 0.0000
Tm 0.5000 0.0000 0.0000
Te 0.2407 0.7448 0.7448
Te 0.2429 0.2429 0.2429
Te 0.2552 0.2552 0.7593
Te 0.2552 0.7593 0.2552
Te 0.7448 0.2407 0.7448
Te 0.7448 0.7448 0.2407
Te 0.7571 0.7571 0.7571
Te 0.7593 0.2552 0.2552

- Calculated volume: 31.6 A^3/atom
- Formation energy from raw total energies: -20.848 eV/f.u.

=====

The following is a PBE calculation of Na3TmZr2Te6 after structural relaxation, from the Alexandria database.

Unit cell a=7.2513 b=7.2513 c=8.1269 alpha=98.58 beta=98.58 gamma=120.05
Atoms (fractional coordinates):
Na 0.0000 0.0000 0.0000
Na 0.3368 0.6632 0.0000
Na 0.6632 0.3368 0.0000
Tm 0.5000 0.5000 0.5000
Zr 0.1676 0.8324 0.5000
Zr 0.8324 0.1676 0.5000
Te 0.0827 0.4237 0.2723
Te 0.2339 0.2339 0.7263
Te 0.4237 0.0827 0.2723
Te 0.5763 0.9173 0.7277
Te 0.7661 0.7661 0.2737
Te 0.9173 0.5763 0.7277

- N(E_F): 6.10 states/eV per cell
- Calculated volume: 29.4 A^3/atom
- Formation energy from raw total energies: -12.184 eV/f.u.

=====

The following is a PBE calculation of Na3Tm3ZrTe8 after structural relaxation, from the Alexandria database.

Unit cell a=9.1511 b=9.1511 c=9.1511 alpha=56.20 beta=56.20 gamma=56.20
Atoms (fractional coordinates):
Na 0.0000 0.5000 0.5000
Na 0.5000 0.0000 0.5000
Na 0.5000 0.5000 0.0000
Tm 0.0000 0.0000 0.5000
Tm 0.0000 0.5000 0.0000
Tm 0.5000 0.0000 0.0000
Zr 0.5000 0.5000 0.5000
Te 0.2434 0.2434 0.2434
Te 0.2499 0.7367 0.7367
Te 0.2633 0.2633 0.7501
Te 0.2633 0.7501 0.2633
Te 0.7367 0.2499 0.7367
Te 0.7367 0.7367 0.2499
Te 0.7501 0.2633 0.2633
Te 0.7566 0.7566 0.7566

- Calculated volume: 32.9 A^3/atom
- Formation energy from raw total energies: -17.889 eV/f.u.

=====

The following is a PBE calculation of Na4Tm3ZrTe8 after structural relaxation, from the Alexandria database.

Unit cell a=9.0933 b=9.0933 c=9.0933 alpha=56.77 beta=56.77 gamma=56.77
Atoms (fractional coordinates):
Na 0.0000 0.0000 0.0000
Na 0.0000 0.5000 0.5000
Na 0.5000 0.0000 0.5000
Na 0.5000 0.5000 0.0000
Tm 0.0000 0.0000 0.5000
Tm 0.0000 0.5000 0.0000
Tm 0.5000 0.0000 0.0000
Zr 0.5000 0.5000 0.5000
Te 0.2437 0.2437 0.2437
Te 0.2496 0.7389 0.7389
Te 0.2611 0.2611 0.7504
Te 0.2611 0.7504 0.2611
Te 0.7389 0.2496 0.7389
Te 0.7389 0.7389 0.2496
Te 0.7504 0.2611 0.2611
Te 0.7563 0.7563 0.7563

- N(E_F): 4.18 states/eV per cell
- Calculated volume: 30.7 A^3/atom
- Formation energy from raw total energies: -18.871 eV/f.u.

=====

The following is a PBE calculation of Na2TmZr2Te6 after structural relaxation, from the Alexandria database.

Unit cell a=7.2061 b=7.2061 c=8.1606 alpha=98.35 beta=98.35 gamma=120.22
Atoms (fractional coordinates):
Na 0.1625 0.8375 0.0000
Na 0.8375 0.1625 0.0000
Tm 0.0000 0.0000 0.5000
Zr 0.3320 0.6680 0.5000
Zr 0.6680 0.3320 0.5000
Te 0.0769 0.4168 0.7264
Te 0.2717 0.2717 0.2754
Te 0.4168 0.0769 0.7264
Te 0.5832 0.9231 0.2736
Te 0.7283 0.7283 0.7246
Te 0.9231 0.5832 0.2736

- N(E_F): 4.40 states/eV per cell
- Calculated volume: 31.8 A^3/atom
- Formation energy from raw total energies: -11.306 eV/f.u.